A relaxed structure of Nd2AlNi4P3. Source: the Alexandria database, functional PBE-GGA.

Cell: 3.960 3.960 9.748 Å, 90.00 90.00 90.00°
Fractional coordinates of all 10 atoms:
Nd  0.500  0.000  0.241
Al  0.500  0.500  0.500
Ni  0.000  0.500  0.367
P  0.500  0.000  0.871
Nd  0.000  0.500  0.759
Ni  0.500  0.500  0.000
Ni  0.000  0.000  0.000
P  0.000  0.000  0.500
P  0.000  0.500  0.129
Ni  0.500  0.000  0.633

E_form = -0.935 eV per atom
energy = -6.1983 eV per atom
total magnetization = 0.0 μB per cell



A relaxed structure of K2CoOs. Source: the Alexandria database, functional PBE-GGA.

Cell: 5.212 6.280 2.682 Å, 80.73 82.74 112.83°
Fractional coordinates of all 4 atoms:
K  0.000  0.000  0.000
Co  0.500  0.500  0.000
Os  0.000  0.500  0.500
K  0.500  0.000  0.500

E_form = 1.348 eV per atom
energy = -3.7847 eV per atom
total magnetization = 1.8 μB per cell



A relaxed structure of KCrTc2. Source: the Alexandria database, functional PBE-GGA.

Cell: 4.772 4.772 6.930 Å, 83.51 83.51 35.22°
Fractional coordinates of all 4 atoms:
K  0.248  0.248  0.253
Cr  0.468  0.468  0.624
Tc  0.028  0.028  0.872
Tc  0.756  0.756  0.751

E_form = 0.904 eV per atom
energy = -6.9596 eV per atom
total magnetization = 1.6 μB per cell



A relaxed structure of TbNdHo3. Source: the Alexandria database, functional PBE-GGA.

Cell: 3.607 8.588 11.558 Å, 90.00 90.00 102.12°
Fractional coordinates of all 10 atoms:
Nd  0.011  0.517  0.750
Tb  0.318  0.137  0.250
Nd  0.989  0.483  0.250
Ho  0.341  0.181  0.750
Tb  0.682  0.863  0.750
Ho  0.659  0.819  0.250
Ho  0.842  0.184  0.999
Ho  0.158  0.816  0.001
Ho  0.842  0.184  0.501
Ho  0.158  0.816  0.499

E_form = 0.298 eV per atom
energy = -4.3285 eV per atom
total magnetization = 0.0 μB per cell



A relaxed structure of Pr2SmTmBi5. Source: the Alexandria database, functional PBE-GGA.

Cell: 5.534 5.534 11.903 Å, 90.00 90.00 90.00°
Fractional coordinates of all 9 atoms:
Tm  0.000  0.000  0.000
Pr  0.500  0.500  0.278
Sm  0.000  0.000  0.500
Pr  0.500  0.500  0.722
Bi  0.500  0.000  0.500
Bi  0.000  0.000  0.757
Bi  0.000  0.500  0.500
Bi  0.000  0.000  0.243
Bi  0.500  0.500  0.000

E_form = -0.068 eV per atom
energy = -4.3075 eV per atom
total magnetization = 0.0 μB per cell



A relaxed structure of HgH2IrCl. Source: the Alexandria database, functional PBE-GGA.

Cell: 3.697 7.647 3.697 Å, 90.00 90.00 90.00°
Fractional coordinates of all 5 atoms:
Ir  0.500  0.500  0.500
H  0.500  0.000  0.000
Cl  0.000  0.000  0.000
H  0.000  0.000  0.500
Hg  0.000  0.500  0.000

energy = -2.4765 eV per atom
total magnetization = 0.9 μB per cell



A relaxed structure of Er4AsSe2S. Source: the Alexandria database, functional PBE-GGA.

Cell: 3.996 7.012 6.903 Å, 70.80 90.00 90.00°
Fractional coordinates of all 8 atoms:
Er  0.500  0.733  0.250
Se  0.500  0.000  0.500
S  0.500  0.500  0.000
Er  0.000  0.728  0.763
Er  0.500  0.267  0.750
As  0.000  0.500  0.500
Er  0.000  0.272  0.237
Se  0.000  0.000  0.000

energy = -6.0040 eV per atom
total magnetization = 0.0 μB per cell



A relaxed structure of Sm2GaOs. Source: the Alexandria database, functional PBE-GGA.

Cell: 3.548 3.548 7.274 Å, 90.00 90.00 90.00°
Fractional coordinates of all 4 atoms:
Sm  0.000  0.000  0.232
Ga  0.500  0.500  0.500
Os  0.500  0.500  0.000
Sm  0.000  0.000  0.768

E_form = -0.271 eV per atom
energy = -6.1944 eV per atom
total magnetization = 0.0 μB per cell



A relaxed structure of LaGdTmAl. Source: the Alexandria database, functional PBE-GGA.

Cell: 5.434 5.434 5.434 Å, 60.00 60.00 60.00°
Fractional coordinates of all 4 atoms:
Al  0.250  0.250  0.250
Gd  0.500  0.500  0.500
La  0.000  0.000  0.000
Tm  0.750  0.750  0.750

E_form = -0.092 eV per atom
energy = -6.8979 eV per atom
total magnetization = 8.1 μB per cell



A relaxed structure of CaSO. Source: the Alexandria database, functional PBE-GGA.

Cell: 4.403 5.087 6.354 Å, 95.22 90.00 115.64°
Fractional coordinates of all 6 atoms:
Ca  0.783  0.567  0.231
S  0.904  0.808  0.677
O  0.222  0.443  0.141
Ca  0.217  0.433  0.769
S  0.096  0.192  0.323
O  0.778  0.557  0.859

energy = -5.4278 eV per atom
total magnetization = 0.0 μB per cell



A relaxed structure of LiZrIn. Source: the Alexandria database, functional PBE-GGA.

Cell: 3.137 3.137 12.865 Å, 97.00 97.00 90.00°
Fractional coordinates of all 6 atoms:
Li  0.284  0.284  0.568
In  0.855  0.855  0.709
Zr  0.559  0.559  0.117
Zr  0.441  0.441  0.883
Li  0.716  0.716  0.432
In  0.145  0.145  0.291

E_form = -0.055 eV per atom
energy = -4.4548 eV per atom
total magnetization = 0.0 μB per cell



A relaxed structure of Pm2U2Pt15. Source: the Alexandria database, functional PBE-GGA.

Cell: 7.103 7.103 7.103 Å, 81.99 81.99 81.99°
Fractional coordinates of all 19 atoms:
Pm  0.645  0.645  0.645
U  0.914  0.914  0.914
Pt  0.000  0.000  0.500
Pt  0.681  0.000  0.319
Pt  0.658  0.160  0.658
Pt  0.342  0.840  0.342
Pt  0.319  0.000  0.681
Pt  0.840  0.342  0.342
Pt  0.342  0.342  0.840
Pt  0.000  0.681  0.319
Pt  0.000  0.319  0.681
Pt  0.500  0.000  0.000
Pt  0.681  0.319  0.000
Pt  0.000  0.500  0.000
Pt  0.658  0.658  0.160
Pt  0.160  0.658  0.658
Pm  0.355  0.355  0.355
Pt  0.319  0.681  0.000
U  0.086  0.086  0.086

E_form = -0.646 eV per atom
energy = -7.1036 eV per atom
total magnetization = 0.0 μB per cell



A relaxed structure of K2PaCrS4. Source: the Alexandria database, functional PBE-GGA.

Cell: 4.059 6.558 7.724 Å, 107.39 90.00 90.00°
Fractional coordinates of all 8 atoms:
Pa  0.500  0.500  0.000
K  0.000  0.500  0.500
S  0.000  0.745  0.198
K  0.500  0.000  0.500
S  0.000  0.255  0.802
Cr  0.000  0.000  0.000
S  0.500  0.771  0.806
S  0.500  0.229  0.194

energy = -5.9477 eV per atom
total magnetization = 5.0 μB per cell



A relaxed structure of BaLi2PmAu4. Source: the Alexandria database, functional PBE-GGA.

Cell: 4.618 4.618 10.685 Å, 77.52 77.52 60.00°
Fractional coordinates of all 8 atoms:
Au  0.598  0.598  0.206
Li  0.242  0.242  0.273
Pm  0.500  0.500  0.500
Au  0.114  0.114  0.659
Li  0.758  0.758  0.727
Au  0.402  0.402  0.794
Ba  0.000  0.000  0.000
Au  0.886  0.886  0.341

E_form = -0.668 eV per atom
energy = -3.6198 eV per atom
total magnetization = 0.0 μB per cell



A relaxed structure of Mn2CoSi. Source: the Alexandria database, functional PBE-GGA.

Cell: 3.975 3.975 3.975 Å, 60.00 60.00 60.00°
Fractional coordinates of all 4 atoms:
Si  0.250  0.250  0.250
Mn  0.750  0.750  0.750
Mn  0.000  0.000  0.000
Co  0.500  0.500  0.500

energy = -8.0725 eV per atom
total magnetization = 3.0 μB per cell



A relaxed structure of MgTl2In12. Source: the Alexandria database, functional PBE-GGA.

Cell: 6.724 6.724 19.277 Å, 90.00 90.00 90.00°
Fractional coordinates of all 30 atoms:
In  0.751  0.749  0.906
In  0.331  0.169  0.568
In  0.000  0.000  0.342
In  0.331  0.831  0.432
Tl  0.000  0.500  0.260
In  0.751  0.251  0.094
In  0.249  0.749  0.094
In  0.500  0.500  0.806
In  0.831  0.669  0.432
In  0.669  0.831  0.568
In  0.169  0.331  0.432
In  0.831  0.331  0.568
In  0.500  0.500  0.194
In  0.000  0.000  0.806
In  0.669  0.169  0.432
In  0.500  0.500  0.342
In  0.749  0.249  0.906
Tl  0.000  0.500  0.740
In  0.500  0.500  0.658
In  0.000  0.000  0.658
In  0.169  0.669  0.568
Mg  0.000  0.500  0.000
In  0.251  0.751  0.906
In  0.749  0.751  0.094
Mg  0.500  0.000  0.000
In  0.249  0.251  0.906
Tl  0.500  0.000  0.740
In  0.000  0.000  0.194
In  0.251  0.249  0.094
Tl  0.500  0.000  0.260

E_form = 0.052 eV per atom
energy = -2.5606 eV per atom
total magnetization = 0.0 μB per cell



A relaxed structure of PrScAgPd. Source: the Alexandria database, functional PBE-GGA.

Cell: 5.037 5.037 5.037 Å, 60.00 60.00 60.00°
Fractional coordinates of all 4 atoms:
Pr  0.000  0.000  0.000
Pd  0.750  0.750  0.750
Sc  0.500  0.500  0.500
Ag  0.250  0.250  0.250

E_form = -0.460 eV per atom
energy = -5.2487 eV per atom
total magnetization = 0.0 μB per cell



A relaxed structure of SiHg2PtF. Source: the Alexandria database, functional PBE-GGA.

Cell: 5.138 4.483 5.138 Å, 90.00 90.00 90.00°
Fractional coordinates of all 5 atoms:
Pt  0.000  0.500  0.000
Hg  0.000  0.000  0.500
Si  0.000  0.000  0.000
F  0.500  0.500  0.500
Hg  0.500  0.000  0.000

energy = -2.7808 eV per atom
total magnetization = 0.0 μB per cell



A relaxed structure of AcZrAlIr2. Source: the Alexandria database, functional PBE-GGA.

Cell: 4.268 4.268 6.690 Å, 108.60 108.60 90.00°
Fractional coordinates of all 5 atoms:
Al  0.750  0.250  0.500
Ir  0.385  0.385  0.770
Zr  0.250  0.750  0.500
Ir  0.615  0.615  0.230
Ac  0.000  0.000  0.000

E_form = -0.826 eV per atom
energy = -7.6501 eV per atom
total magnetization = 0.0 μB per cell



A relaxed structure of CaLaEu4. Source: the Alexandria database, functional PBE-GGA.

Cell: 7.112 7.112 7.112 Å, 60.00 60.00 60.00°
Fractional coordinates of all 6 atoms:
La  0.000  0.000  0.000
Eu  0.625  0.124  0.625
Ca  0.250  0.250  0.250
Eu  0.625  0.625  0.124
Eu  0.124  0.625  0.625
Eu  0.625  0.625  0.625

E_form = 0.166 eV per atom
energy = -7.8381 eV per atom
total magnetization = 30.8 μB per cell